{
  "formula": "Ba2TaFeAg",
  "functional": "GGA-PBE",
  "state": "optimized geometry",
  "ef_mev_per_atom": 1457,
  "mass_density_g_cm3": 5.41,
  "cell": [[6.105, 0.000, 0.000], [0.000, 5.099, 0.000], [0.000, 0.000, 6.105]],
  "species": ["Fe", "Ta", "Ba", "Ba", "Ag"],
  "fractional_positions": [[0.500, 0.500, 0.500], [0.000, 0.000, 0.000], [0.500, 0.000, 0.000], [0.000, 0.000, 0.500], [0.000, 0.500, 0.000]]
}


{
  "formula": "Pr2DyErS6",
  "functional": "GGA-PBE",
  "state": "optimized geometry",
  "e_form_raw_ev_per_atom": -2.034,
  "mass_density_g_cm3": 4.98,
  "cell": [[-0.088, -3.891, -5.910], [6.001, -1.150, -3.569], [2.983, -6.786, 0.186]],
  "species": ["S", "Pr", "S", "S", "S", "Er", "S", "S", "Pr", "Dy"],
  "fractional_positions": [[0.103, 0.441, 0.759], [0.524, 0.524, 0.429], [0.697, 0.103, 0.759], [0.441, 0.697, 0.759], [0.939, 0.606, 0.260], [0.817, 0.817, 0.549], [0.606, 0.195, 0.260], [0.195, 0.939, 0.260], [0.024, 0.024, 0.928], [0.316, 0.316, 0.051]]
}


{
  "formula": "BaLi2Mg",
  "functional": "GGA-PBE",
  "state": "optimized geometry",
  "ef_mev_per_atom": 41,
  "mass_density_g_cm3": 2.40,
  "cell": [[3.884, 0.000, 0.000], [0.000, 3.885, 0.000], [0.000, 0.000, 8.032]],
  "species": ["Mg", "Li", "Li", "Ba"],
  "fractional_positions": [[0.500, 0.500, 0.250], [0.000, 0.000, 0.429], [0.000, 0.000, 0.071], [0.500, 0.500, 0.750]]
}


{
  "formula": "Tm3ScZn4",
  "functional": "GGA-PBE",
  "state": "optimized geometry",
  "ef_mev_per_atom": -353,
  "mass_density_g_cm3": 8.01,
  "cell": [[-2.855, 1.605, -3.673], [1.048, -1.229, -4.649], [-5.190, -6.434, -2.075]],
  "species": ["Zn", "Zn", "Tm", "Sc", "Tm", "Zn", "Zn", "Tm"],
  "fractional_positions": [[0.626, 0.626, 0.121], [0.374, 0.374, 0.879], [0.251, 0.251, 0.246], [0.000, 0.000, 0.000], [0.500, 0.500, 0.500], [0.123, 0.123, 0.630], [0.877, 0.877, 0.370], [0.749, 0.749, 0.754]]
}


{
  "formula": "HoBi2S4",
  "functional": "GGA-PBE",
  "state": "optimized geometry",
  "e_form_raw_ev_per_atom": -0.837,
  "mass_density_g_cm3": 6.68,
  "cell": [[-1.786, 0.909, 3.130], [-3.433, -6.228, -2.358], [8.428, -7.264, 6.918]],
  "species": ["S", "Ho", "Bi", "S", "S", "S", "Bi", "S", "Ho", "S", "Bi", "S", "Bi", "S"],
  "fractional_positions": [[0.978, 0.956, 0.750], [0.614, 0.227, 0.750], [0.869, 0.737, 0.928], [0.202, 0.404, 0.876], [0.500, 0.000, 0.000], [0.798, 0.596, 0.124], [0.131, 0.263, 0.428], [0.798, 0.596, 0.376], [0.386, 0.773, 0.250], [0.022, 0.044, 0.250], [0.131, 0.263, 0.072], [0.500, 0.000, 0.500], [0.869, 0.737, 0.572], [0.202, 0.404, 0.624]]
}


{
  "formula": "Ho4Zn3Cu",
  "functional": "GGA-PBE",
  "state": "optimized geometry",
  "ef_mev_per_atom": -275,
  "polymorph_energy_kj_per_mol_atoms": 4.6,
  "mass_density_g_cm3": 8.46,
  "cell": [[-1.126, -3.044, 1.649], [3.475, 0.232, 2.801], [-6.074, 6.057, 7.035]],
  "species": ["Ho", "Zn", "Cu", "Ho", "Ho", "Ho", "Zn", "Zn"],
  "fractional_positions": [[0.000, 0.500, 0.857], [0.000, 0.000, 0.428], [0.500, 0.500, 0.070], [0.500, 0.000, 0.654], [0.500, 0.500, 0.344], [0.000, 0.000, 0.146], [0.500, 0.000, 0.930], [0.000, 0.500, 0.571]]
}


{
  "formula": "TcSbTe2Os",
  "functional": "GGA-PBE",
  "state": "optimized geometry",
  "e_form_raw_ev_per_atom": 1.348,
  "polymorph_energy_kj_per_mol_atoms": 0.0,
  "mass_density_g_cm3": 7.84,
  "cell": [[5.311, 0.000, 0.000], [0.000, 5.311, 0.000], [0.000, 0.000, 4.996]],
  "species": ["Te", "Te", "Tc", "Os", "Sb"],
  "fractional_positions": [[0.500, 0.000, 0.000], [0.000, 0.500, 0.000], [0.500, 0.500, 0.500], [0.000, 0.000, 0.000], [0.000, 0.000, 0.500]]
}


{
  "formula": "NbBrOF2",
  "functional": "GGA-PBE",
  "state": "optimized geometry",
  "e_form_raw_ev_per_atom": -1.770,
  "polymorph_energy_kj_per_mol_atoms": 0.0,
  "mass_density_g_cm3": 5.23,
  "cell": [[4.273, 0.000, 0.000], [0.000, 4.273, 0.000], [0.000, 0.000, 3.948]],
  "species": ["O", "F", "Nb", "F", "Br"],
  "fractional_positions": [[0.000, 0.000, 0.500], [0.000, 0.500, 0.000], [0.000, 0.000, 0.000], [0.500, 0.000, 0.000], [0.500, 0.500, 0.500]]
}